Record 1
# Tl2Ga2TeO6

A relaxed Tl2Ga2TeO6 crystal (PBE, the Alexandria database).

The value obtained for the magnetization is 0.00 μB per formula unit. As for the calculated total energy: -5.05 eV/atom. The formation energy (no corrections) is -1.076 eV per atom.

Cell: 6.0445 6.0445 6.9124 Å, 64.07 64.07 60.00°
Last column: nearest neighbours and their distance in Å.
Atoms (fractional coordinates):
Tl  0.7940  0.7940  0.6180  9 O 2.87-3.16
Tl  0.2060  0.2060  0.3820  9 O 2.87-3.16
Ga  0.4020  0.4020  0.7939  3 O 1.80
Ga  0.5980  0.5980  0.2061  3 O 1.80
Te  0.0000  0.0000  0.0000  6 O 2.18
O  0.7619  0.7619  0.2288  1 Ga 1.80
O  0.2474  0.7619  0.2288  1 Ga 1.80
O  0.7619  0.2474  0.2288  1 Ga 1.80
O  0.2381  0.7526  0.7712  1 Ga 1.80
O  0.7526  0.2381  0.7712  1 Ga 1.80
O  0.2381  0.2381  0.7712  1 Ga 1.80

---

Record 2
# TmGaTe2O8

A relaxed TmGaTe2O8 crystal (PBE, the Alexandria database).

The value obtained for the magnetization is 0.00 μB per formula unit. As for the calculated total energy: -5.88 eV/atom. The formation energy (no corrections) is -1.427 eV per atom.

Cell: 6.0211 6.0211 6.0211 Å, 109.93 109.93 108.55°
Last column: nearest neighbours and their distance in Å.
Atoms (fractional coordinates):
Tm  0.0000  0.0000  0.0000  4 O 2.19
Ga  0.2500  0.7500  0.5000  4 O 2.03
Te  0.7500  0.2500  0.5000  4 O 1.84
Te  0.5000  0.5000  0.0000  4 O 2.06
O  0.3777  0.0685  0.3092  1 Te 1.84
O  0.2919  0.5016  0.2098  1 Ga 2.03, 1 Te 2.06
O  0.2919  0.0821  0.7902  1 Ga 2.03, 1 Te 2.06
O  0.7593  0.0685  0.6908  1 Te 1.84
O  0.9179  0.7081  0.2098  1 Ga 2.03, 1 Te 2.06
O  0.9315  0.2407  0.3092  1 Te 1.84
O  0.9315  0.6223  0.6908  1 Te 1.84
O  0.4984  0.7081  0.7902  1 Ga 2.03, 1 Te 2.06